Record 1
Computed, not measured: NaCdPb3 after structural relaxation at the PBE-GGA level of DFT.

Values from the calculation:
DFT formation energy   -0.029 eV per atom
Symmetry   P2_1/m (11)
Total magnetic moment   0.0 μB per cell
Total DFT energy (no corrections)   -2.70 eV per atom
Offset from the most stable computed form   18 meV per atom

a b c (Å): 5.8016 6.9704 7.9711
angles (deg): 90.00 110.34 90.00
Closest atoms and distances in Å follow each position.
Fractional positions:
Na: 0.1089 0.2500 0.2141  2 Cd 3.30-3.32, 9 Pb 3.47-3.58
Na: 0.8911 0.7500 0.7859  2 Cd 3.30-3.32, 9 Pb 3.47-3.58
Cd: 0.4906 0.7500 0.9993  6 Pb 3.25-3.47, 2 Na 3.30-3.32, 2 Cd 3.49
Cd: 0.5094 0.2500 0.0007  6 Pb 3.25-3.47, 2 Na 3.30-3.32, 2 Cd 3.49
Pb: 0.1140 0.7500 0.2496  6 Pb 3.36-3.54, 2 Cd 3.43-3.47, 3 Na 3.47-3.50
Pb: 0.3202 0.0012 0.6337  2 Cd 3.25, 7 Pb 3.36-3.58, 3 Na 3.57-3.58
Pb: 0.3202 0.4988 0.6337  2 Cd 3.25, 7 Pb 3.36-3.58, 3 Na 3.57-3.58
Pb: 0.6798 0.5012 0.3663  2 Cd 3.25, 7 Pb 3.36-3.58, 3 Na 3.57-3.58
Pb: 0.6798 0.9988 0.3663  2 Cd 3.25, 7 Pb 3.36-3.58, 3 Na 3.57-3.58
Pb: 0.8860 0.2500 0.7504  6 Pb 3.36-3.54, 2 Cd 3.43-3.47, 3 Na 3.47-3.50

***

Record 2
Computed, not measured: PrEr6Tm8 after structural relaxation at the PBE-GGA level of DFT.

Values from the calculation:
DFT formation energy   0.232 eV per atom
Symmetry   P-3 (147)
Total magnetic moment   0.0 μB per cell
Total DFT energy (no corrections)   -4.30 eV per atom
Offset from the most stable computed form   91 meV per atom

a b c (Å): 9.3469 9.3469 6.3828
angles (deg): 90.00 90.00 120.00
Closest atoms and distances in Å follow each position.
Fractional positions:
Pr: 0.0000 0.0000 0.0000  6 Er 3.60
Er: 0.1030 0.6820 0.0869  1 Er 3.16, 4 Tm 3.20-3.51
Er: 0.3180 0.4210 0.0869  1 Er 3.16, 4 Tm 3.20-3.51
Er: 0.4210 0.1030 0.9131  1 Er 3.16, 4 Tm 3.20-3.51
Er: 0.5790 0.8970 0.0869  1 Er 3.16, 4 Tm 3.20-3.51
Er: 0.6820 0.5790 0.9131  1 Er 3.16, 4 Tm 3.20-3.51
Er: 0.8970 0.3180 0.9131  1 Er 3.16, 4 Tm 3.20-3.51
Tm: 0.0249 0.3397 0.4101  4 Er 3.20-3.56, 5 Tm 3.27-3.45
Tm: 0.3149 0.9751 0.4101  4 Er 3.20-3.56, 5 Tm 3.27-3.45
Tm: 0.3333 0.6667 0.6611  6 Tm 3.35-3.38, 3 Er 3.51
Tm: 0.3397 0.3149 0.5899  4 Er 3.20-3.56, 5 Tm 3.27-3.45
Tm: 0.6603 0.6851 0.4101  4 Er 3.20-3.56, 5 Tm 3.27-3.45
Tm: 0.6667 0.3333 0.3389  6 Tm 3.35-3.38, 3 Er 3.51
Tm: 0.6851 0.0249 0.5899  4 Er 3.20-3.56, 5 Tm 3.27-3.45
Tm: 0.9751 0.6603 0.5899  4 Er 3.20-3.56, 5 Tm 3.27-3.45

***

Record 3
Computed, not measured: Ba2CdPtAu6 after structural relaxation at the PBE-GGA level of DFT.

Values from the calculation:
DFT formation energy   -0.296 eV per atom
Symmetry   Fm-3m (225)
Total magnetic moment   0.0 μB per cell
Total DFT energy (no corrections)   -3.34 eV per atom

a b c (Å): 7.4234 7.4234 7.4234
angles (deg): 60.00 60.00 60.00
Closest atoms and distances in Å follow each position.
Fractional positions:
Ba: 0.2500 0.2500 0.2500  12 Au 3.71
Ba: 0.7500 0.7500 0.7500  12 Au 3.71
Cd: 0.0000 0.0000 0.0000  6 Au 2.65
Pt: 0.5000 0.5000 0.5000  6 Au 2.60
Au: 0.2528 0.2528 0.7472  1 Pt 2.60, 1 Cd 2.65
Au: 0.2528 0.7472 0.2528  1 Pt 2.60, 1 Cd 2.65
Au: 0.2528 0.7472 0.7472  1 Pt 2.60, 1 Cd 2.65
Au: 0.7472 0.2528 0.2528  1 Pt 2.60, 1 Cd 2.65
Au: 0.7472 0.2528 0.7472  1 Pt 2.60, 1 Cd 2.65
Au: 0.7472 0.7472 0.2528  1 Pt 2.60, 1 Cd 2.65